[1]
# Pr2YTe2O2 (GGA-PBE, optimized geometry)
# - ρ (Mg/m³) = 6.68
# - symmetry = I4/mmm, No. 139
# - crystal system = tetragonal
# - size of the total moment (μB per formula unit) = 0.0
# - final energy (eV per atom) = -6.785
data_Pr2YTe2O2
_space_group_name_H-M_alt 'P 1'
_space_group_IT_number 1
_cell_length_a 4.4121
_cell_length_b 4.4121
_cell_length_c 8.9618
_cell_angle_alpha 104.25
_cell_angle_beta 104.25
_cell_angle_gamma 90.00
loop_
_space_group_symop_operation_xyz
'x,y,z'
loop_
_atom_site_label
_atom_site_type_symbol
_atom_site_fract_x
_atom_site_fract_y
_atom_site_fract_z
Pr1 Pr 0.3903 0.3903 0.7807
Pr2 Pr 0.6097 0.6097 0.2193
Y1 Y 0.0000 0.0000 0.0000
Te1 Te 0.1826 0.1826 0.3652
Te2 Te 0.8174 0.8174 0.6348
O1 O 0.0000 0.5000 0.0000
O2 O 0.5000 0.0000 0.0000

[2]
# PrYTe2O8 (GGA-PBE, optimized geometry)
# - ρ (Mg/m³) = 5.19
# - symmetry = I-4m2, No. 119
# - crystal system = tetragonal
# - size of the total moment (μB per formula unit) = 0.0
# - final energy (eV per atom) = -6.678
data_PrYTe2O8
_space_group_name_H-M_alt 'P 1'
_space_group_IT_number 1
_cell_length_a 6.3493
_cell_length_b 6.3493
_cell_length_c 6.3493
_cell_angle_alpha 107.36
_cell_angle_beta 107.36
_cell_angle_gamma 113.78
loop_
_space_group_symop_operation_xyz
'x,y,z'
loop_
_atom_site_label
_atom_site_type_symbol
_atom_site_fract_x
_atom_site_fract_y
_atom_site_fract_z
Pr1 Pr 0.2500 0.7500 0.5000
Y1 Y 0.0000 0.0000 0.0000
Te1 Te 0.7500 0.2500 0.5000
Te2 Te 0.5000 0.5000 0.0000
O1 O 0.3620 0.0520 0.3100
O2 O 0.3037 0.4829 0.1792
O3 O 0.3037 0.1245 0.8208
O4 O 0.7420 0.0520 0.6900
O5 O 0.8755 0.6963 0.1792
O6 O 0.9480 0.2580 0.3100
O7 O 0.9480 0.6380 0.6900
O8 O 0.5171 0.6963 0.8208

[3]
# PrYTeO2 (GGA-PBE, optimized geometry)
# - ρ (Mg/m³) = 5.84
# - symmetry = P2_1/m, No. 11
# - crystal system = monoclinic
# - size of the total moment (μB per formula unit) = 0.0
# - final energy (eV per atom) = -7.753
data_PrYTeO2
_space_group_name_H-M_alt 'P 1'
_space_group_IT_number 1
_cell_length_a 4.1757
_cell_length_b 6.9674
_cell_length_c 7.9651
_cell_angle_alpha 107.21
_cell_angle_beta 90.00
_cell_angle_gamma 90.00
loop_
_space_group_symop_operation_xyz
'x,y,z'
loop_
_atom_site_label
_atom_site_type_symbol
_atom_site_fract_x
_atom_site_fract_y
_atom_site_fract_z
Pr1 Pr 0.2500 0.6792 0.9246
Pr2 Pr 0.7500 0.3208 0.0754
Y1 Y 0.2500 0.6566 0.4130
Y2 Y 0.7500 0.3434 0.5870
Te1 Te 0.2500 0.0494 0.7482
Te2 Te 0.7500 0.9506 0.2518
O1 O 0.7500 0.5094 0.3847
O2 O 0.2500 0.4906 0.6153
O3 O 0.7500 0.5163 0.8719
O4 O 0.2500 0.4837 0.1281

[4]
# PrYTeO6 (GGA-PBE, optimized geometry)
# - ρ (Mg/m³) = 5.55
# - symmetry = P-31c, No. 163
# - crystal system = trigonal
# - size of the total moment (μB per formula unit) = 0.0
# - final energy (eV per atom) = -7.325
data_PrYTeO6
_space_group_name_H-M_alt 'P 1'
_space_group_IT_number 1
_cell_length_a 5.6184
_cell_length_b 5.6184
_cell_length_c 9.9182
_cell_angle_alpha 90.00
_cell_angle_beta 90.00
_cell_angle_gamma 120.00
loop_
_space_group_symop_operation_xyz
'x,y,z'
loop_
_atom_site_label
_atom_site_type_symbol
_atom_site_fract_x
_atom_site_fract_y
_atom_site_fract_z
Pr1 Pr 0.0000 0.0000 0.0000
Pr2 Pr 0.0000 0.0000 0.5000
Y1 Y 0.3333 0.6667 0.2500
Y2 Y 0.6667 0.3333 0.7500
Te1 Te 0.6667 0.3333 0.2500
Te2 Te 0.3333 0.6667 0.7500
O1 O 0.6630 0.6201 0.1390
O2 O 0.9571 0.3369 0.1390
O3 O 0.3370 0.9571 0.6390
O4 O 0.0429 0.6631 0.8610
O5 O 0.3799 0.3369 0.3610
O6 O 0.9571 0.6201 0.3610
O7 O 0.6201 0.9571 0.8610
O8 O 0.6630 0.0429 0.3610
O9 O 0.0429 0.3799 0.6390
O10 O 0.3799 0.0429 0.1390
O11 O 0.6201 0.6631 0.6390
O12 O 0.3370 0.3799 0.8610

[5]
# PrZrTeO6 (GGA-PBE, optimized geometry)
# - ρ (Mg/m³) = 5.58
# - symmetry = P-31c, No. 163
# - crystal system = trigonal
# - size of the total moment (μB per formula unit) = 0.0
# - final energy (eV per atom) = -7.506
data_PrZrTeO6
_space_group_name_H-M_alt 'P 1'
_space_group_IT_number 1
_cell_length_a 5.5431
_cell_length_b 5.5431
_cell_length_c 10.1859
_cell_angle_alpha 90.00
_cell_angle_beta 90.00
_cell_angle_gamma 120.00
loop_
_space_group_symop_operation_xyz
'x,y,z'
loop_
_atom_site_label
_atom_site_type_symbol
_atom_site_fract_x
_atom_site_fract_y
_atom_site_fract_z
Pr1 Pr 0.0000 0.0000 0.0000
Pr2 Pr 0.0000 0.0000 0.5000
Zr1 Zr 0.3333 0.6667 0.2500
Zr2 Zr 0.6667 0.3333 0.7500
Te1 Te 0.6667 0.3333 0.2500
Te2 Te 0.3333 0.6667 0.7500
O1 O 0.6441 0.6354 0.1398
O2 O 0.9913 0.3559 0.1398
O3 O 0.3559 0.9913 0.6398
O4 O 0.0087 0.6441 0.8602
O5 O 0.3646 0.3559 0.3602
O6 O 0.9913 0.6354 0.3602
O7 O 0.6354 0.9913 0.8602
O8 O 0.6441 0.0087 0.3602
O9 O 0.0087 0.3646 0.6398
O10 O 0.3646 0.0087 0.1398
O11 O 0.6354 0.6441 0.6398
O12 O 0.3559 0.3646 0.8602

[6]
# Pr2ThO (GGA-PBE, optimized geometry)
# - ρ (Mg/m³) = 8.05
# - symmetry = R-3m, No. 166
# - crystal system = trigonal
# - size of the total moment (μB per formula unit) = 0.0
# - final energy (eV per atom) = -6.538
data_Pr2ThO
_space_group_name_H-M_alt 'P 1'
_space_group_IT_number 1
_cell_length_a 3.5759
_cell_length_b 3.5759
_cell_length_c 10.0860
_cell_angle_alpha 79.79
_cell_angle_beta 79.79
_cell_angle_gamma 60.00
loop_
_space_group_symop_operation_xyz
'x,y,z'
loop_
_atom_site_label
_atom_site_type_symbol
_atom_site_fract_x
_atom_site_fract_y
_atom_site_fract_z
Pr1 Pr 0.1179 0.1179 0.6462
Pr2 Pr 0.8821 0.8821 0.3538
O1 O 0.5000 0.5000 0.5000
Th1 Th 0.0000 0.0000 0.0000

[7]
# PrThO4 (GGA-PBE, optimized geometry)
# - ρ (Mg/m³) = 7.99
# - symmetry = I4_1/amd, No. 141
# - crystal system = tetragonal
# - size of the total moment (μB per formula unit) = 1.1
# - final energy (eV per atom) = -8.570
data_PrThO4
_space_group_name_H-M_alt 'P 1'
_space_group_IT_number 1
_cell_length_a 5.6809
_cell_length_b 5.6809
_cell_length_c 6.9141
_cell_angle_alpha 114.26
_cell_angle_beta 114.26
_cell_angle_gamma 90.00
loop_
_space_group_symop_operation_xyz
'x,y,z'
loop_
_atom_site_label
_atom_site_type_symbol
_atom_site_fract_x
_atom_site_fract_y
_atom_site_fract_z
Pr1 Pr 0.0000 0.0000 0.0000
Pr2 Pr 0.7500 0.2500 0.5000
Th1 Th 0.2500 0.7500 0.5000
Th2 Th 0.5000 0.5000 0.0000
O1 O 0.1349 0.1250 0.7500
O2 O 0.8750 0.8651 0.2500
O3 O 0.1349 0.6250 0.7500
O4 O 0.3750 0.3849 0.2500
O5 O 0.6151 0.1250 0.7500
O6 O 0.6151 0.6250 0.7500
O7 O 0.3750 0.8651 0.2500
O8 O 0.8750 0.3849 0.2500

[8]
# PrTh3O (GGA-PBE, optimized geometry)
# - ρ (Mg/m³) = 10.59
# - symmetry = Pm-3m, No. 221
# - crystal system = cubic
# - size of the total moment (μB per formula unit) = 0.0
# - final energy (eV per atom) = -7.446
data_PrTh3O
_space_group_name_H-M_alt 'P 1'
_space_group_IT_number 1
_cell_length_a 5.1136
_cell_length_b 5.1136
_cell_length_c 5.1136
_cell_angle_alpha 90.00
_cell_angle_beta 90.00
_cell_angle_gamma 90.00
loop_
_space_group_symop_operation_xyz
'x,y,z'
loop_
_atom_site_label
_atom_site_type_symbol
_atom_site_fract_x
_atom_site_fract_y
_atom_site_fract_z
Pr1 Pr 0.5000 0.5000 0.5000
O1 O 0.0000 0.0000 0.0000
Th1 Th 0.0000 0.5000 0.0000
Th2 Th 0.0000 0.0000 0.5000
Th3 Th 0.5000 0.0000 0.0000

[9]
# PrTh3O8 (GGA-PBE, optimized geometry)
# - ρ (Mg/m³) = 8.94
# - symmetry = Pm-3m, No. 221
# - crystal system = cubic
# - size of the total moment (μB per formula unit) = 0.7
# - final energy (eV per atom) = -9.126
data_PrTh3O8
_space_group_name_H-M_alt 'P 1'
_space_group_IT_number 1
_cell_length_a 5.6375
_cell_length_b 5.6375
_cell_length_c 5.6375
_cell_angle_alpha 90.00
_cell_angle_beta 90.00
_cell_angle_gamma 90.00
loop_
_space_group_symop_operation_xyz
'x,y,z'
loop_
_atom_site_label
_atom_site_type_symbol
_atom_site_fract_x
_atom_site_fract_y
_atom_site_fract_z
Pr1 Pr 0.0000 0.0000 0.0000
Th1 Th 0.5000 0.5000 0.0000
Th2 Th 0.5000 0.0000 0.5000
Th3 Th 0.0000 0.5000 0.5000
O1 O 0.2542 0.2542 0.7458
O2 O 0.2542 0.7458 0.2542
O3 O 0.7458 0.2542 0.2542
O4 O 0.7458 0.7458 0.7458
O5 O 0.7458 0.7458 0.2542
O6 O 0.7458 0.2542 0.7458
O7 O 0.2542 0.7458 0.7458
O8 O 0.2542 0.2542 0.2542

[10]
# Pr3ThO (GGA-PBE, optimized geometry)
# - ρ (Mg/m³) = 8.16
# - symmetry = Pm-3m, No. 221
# - crystal system = cubic
# - size of the total moment (μB per formula unit) = 0.0
# - final energy (eV per atom) = -6.351
data_Pr3ThO
_space_group_name_H-M_alt 'P 1'
_space_group_IT_number 1
_cell_length_a 5.1491
_cell_length_b 5.1491
_cell_length_c 5.1491
_cell_angle_alpha 90.00
_cell_angle_beta 90.00
_cell_angle_gamma 90.00
loop_
_space_group_symop_operation_xyz
'x,y,z'
loop_
_atom_site_label
_atom_site_type_symbol
_atom_site_fract_x
_atom_site_fract_y
_atom_site_fract_z
Pr1 Pr 0.0000 0.5000 0.0000
Pr2 Pr 0.0000 0.0000 0.5000
Pr3 Pr 0.5000 0.0000 0.0000
O1 O 0.0000 0.0000 0.0000
Th1 Th 0.5000 0.5000 0.5000

[11]
# Pr2Th2O7 (GGA-PBE, optimized geometry)
# - ρ (Mg/m³) = 7.75
# - symmetry = Fd-3m, No. 227
# - crystal system = cubic
# - size of the total moment (μB per formula unit) = 0.0
# - final energy (eV per atom) = -8.879
data_Pr2Th2O7
_space_group_name_H-M_alt 'P 1'
_space_group_IT_number 1
_cell_length_a 8.0402
_cell_length_b 8.0402
_cell_length_c 8.0402
_cell_angle_alpha 60.00
_cell_angle_beta 60.00
_cell_angle_gamma 60.00
loop_
_space_group_symop_operation_xyz
'x,y,z'
loop_
_atom_site_label
_atom_site_type_symbol
_atom_site_fract_x
_atom_site_fract_y
_atom_site_fract_z
Pr1 Pr 0.6250 0.6250 0.6250
Pr2 Pr 0.6250 0.6250 0.1250
Pr3 Pr 0.6250 0.1250 0.6250
Pr4 Pr 0.1250 0.6250 0.6250
Th1 Th 0.6250 0.1250 0.1250
Th2 Th 0.1250 0.6250 0.1250
Th3 Th 0.1250 0.1250 0.6250
Th4 Th 0.1250 0.1250 0.1250
O1 O 0.2240 0.2240 0.7760
O2 O 0.2240 0.7760 0.2240
O3 O 0.4740 0.0260 0.4740
O4 O 0.4740 0.4740 0.0260
O5 O 0.7500 0.7500 0.7500
O6 O 0.7760 0.2240 0.2240
O7 O 0.4740 0.0260 0.0260
O8 O 0.0260 0.4740 0.4740
O9 O 0.0260 0.0260 0.4740
O10 O 0.0260 0.4740 0.0260
O11 O 0.2240 0.7760 0.7760
O12 O 0.5000 0.5000 0.5000
O13 O 0.7760 0.2240 0.7760
O14 O 0.7760 0.7760 0.2240

[12]
# Pr2TiO5 (GGA-PBE, optimized geometry)
# - ρ (Mg/m³) = 5.53
# - symmetry = Pnma, No. 62
# - crystal system = orthorhombic
# - size of the total moment (μB per formula unit) = 0.0
# - final energy (eV per atom) = -8.604
data_Pr2TiO5
_space_group_name_H-M_alt 'P 1'
_space_group_IT_number 1
_cell_length_a 3.8880
_cell_length_b 10.9209
_cell_length_c 11.5960
_cell_angle_alpha 90.00
_cell_angle_beta 90.00
_cell_angle_gamma 90.00
loop_
_space_group_symop_operation_xyz
'x,y,z'
loop_
_atom_site_label
_atom_site_type_symbol
_atom_site_fract_x
_atom_site_fract_y
_atom_site_fract_z
Pr1 Pr 0.2500 0.1375 0.9443
Pr2 Pr 0.2500 0.6375 0.5557
Pr3 Pr 0.7500 0.8625 0.0557
Pr4 Pr 0.7500 0.3625 0.4443
Pr5 Pr 0.7500 0.3961 0.7805
Pr6 Pr 0.7500 0.8961 0.7195
Pr7 Pr 0.2500 0.6039 0.2195
Pr8 Pr 0.2500 0.1039 0.2805
Ti1 Ti 0.2500 0.1847 0.6253
Ti2 Ti 0.2500 0.6847 0.8747
Ti3 Ti 0.7500 0.8153 0.3747
Ti4 Ti 0.7500 0.3153 0.1253
O1 O 0.2500 0.2230 0.4657
O2 O 0.2500 0.7230 0.0343
O3 O 0.7500 0.7770 0.5343
O4 O 0.7500 0.2770 0.9657
O5 O 0.2500 0.4910 0.3963
O6 O 0.2500 0.9910 0.1037
O7 O 0.7500 0.5090 0.6037
O8 O 0.7500 0.0090 0.8963
O9 O 0.2500 0.2630 0.1227
O10 O 0.2500 0.7630 0.3773
O11 O 0.7500 0.7370 0.8773
O12 O 0.7500 0.2370 0.6227
O13 O 0.2500 0.0253 0.6602
O14 O 0.2500 0.5253 0.8398
O15 O 0.7500 0.9747 0.3398
O16 O 0.7500 0.4747 0.1602
O17 O 0.2500 0.2691 0.7708
O18 O 0.2500 0.7691 0.7292
O19 O 0.7500 0.7309 0.2292
O20 O 0.7500 0.2309 0.2708

- Among the records above, which one has the lowest ρ?
  PrYTe2O8